Record 1
# CeDy3Co2 | Alexandria via LeMat-Bulk | GGA-PBE | relaxed
# - Total magnetic moment: 0.00 μB per atom
# - V: 605.7 Å³ per cell
# - E_tot: -5.76 eV per atom
# - ΔH_f (0 K): -0.6 eV/f.u.
# - Excess energy over the best structure of this formula in the dataset: 55.5 meV/atom
data_CeDy3Co2
_chemical_formula_sum 'Ce4 Dy12 Co8'
_cell_length_a 16.603
_cell_length_b 3.843
_cell_length_c 10.691
_cell_angle_alpha 90.00
_cell_angle_beta 117.40
_cell_angle_gamma 90.00
_symmetry_space_group_name_H-M 'C 1 2/m 1'
_symmetry_Int_Tables_number 12
loop_
_symmetry_equiv_pos_as_xyz
'x,y,z'
'-x,-y,-z'
'-x,y,-z'
'x,-y,z'
'x+1/2,y+1/2,z'
'-x+1/2,-y+1/2,-z'
'-x+1/2,y+1/2,-z'
'x+1/2,-y+1/2,z'
loop_
_atom_site_label
_atom_site_type_symbol
_atom_site_fract_x
_atom_site_fract_y
_atom_site_fract_z
Ce1 Ce 0.091 0.000 0.159
Dy1 Dy 0.049 0.500 0.739
Dy2 Dy 0.164 0.000 0.517
Dy3 Dy 0.244 0.500 0.124
Co1 Co 0.116 0.000 0.961
Co2 Co 0.137 0.500 0.321

***

Record 2
# CeDy3Co3 | Alexandria via LeMat-Bulk | GGA-PBE | relaxed
# - Total magnetic moment: 0.00 μB per atom
# - V: 595.9 Å³ per cell
# - E_tot: -6.06 eV per atom
# - ΔH_f (0 K): -1.4 eV/f.u.
data_CeDy3Co3
_chemical_formula_sum 'Ce4 Dy12 Co12'
_cell_length_a 12.378
_cell_length_b 3.694
_cell_length_c 14.291
_cell_angle_alpha 90.00
_cell_angle_beta 114.23
_cell_angle_gamma 90.00
_symmetry_space_group_name_H-M 'C 1 2/m 1'
_symmetry_Int_Tables_number 12
loop_
_symmetry_equiv_pos_as_xyz
'x,y,z'
'-x,-y,-z'
'-x,y,-z'
'x,-y,z'
'x+1/2,y+1/2,z'
'-x+1/2,-y+1/2,-z'
'-x+1/2,y+1/2,-z'
'x+1/2,-y+1/2,z'
loop_
_atom_site_label
_atom_site_type_symbol
_atom_site_fract_x
_atom_site_fract_y
_atom_site_fract_z
Ce1 Ce 0.162 0.000 0.390
Dy1 Dy 0.041 0.500 0.806
Dy2 Dy 0.127 0.000 0.635
Dy3 Dy 0.168 0.500 0.079
Co1 Co 0.020 0.000 0.930
Co2 Co 0.065 0.500 0.455
Co3 Co 0.167 0.000 0.238

***

Record 3
# CeDyCo4 | Alexandria via LeMat-Bulk | GGA-PBE | relaxed
# - Total magnetic moment: 0.00 μB per atom
# - V: 355.6 Å³ per cell
# - E_tot: -6.69 eV per atom
# - ΔH_f (0 K): -1.2 eV/f.u.
data_CeDyCo4
_chemical_formula_sum 'Ce4 Dy4 Co16'
_cell_length_a 7.085
_cell_length_b 7.085
_cell_length_c 7.085
_cell_angle_alpha 90.00
_cell_angle_beta 90.00
_cell_angle_gamma 90.00
_symmetry_space_group_name_H-M 'F -4 3 m'
_symmetry_Int_Tables_number 216
_symmetry_space_group_name_Hall 'F -4 2 3'
loop_
_atom_site_label
_atom_site_type_symbol
_atom_site_fract_x
_atom_site_fract_y
_atom_site_fract_z
Ce1 Ce 0.000 0.000 0.000
Dy1 Dy 0.250 0.250 0.750
Co1 Co 0.125 0.125 0.375

***

Record 4
# CeDy12Co6 | Alexandria via LeMat-Bulk | GGA-PBE | relaxed
# - Total magnetic moment: 0.10 μB per atom
# - V: 928.0 Å³ per cell
# - E_tot: -5.58 eV per atom
# - ΔH_f (0 K): -2.2 eV/f.u.
data_CeDy12Co6
_chemical_formula_sum 'Ce2 Dy24 Co12'
_cell_length_a 9.754
_cell_length_b 9.754
_cell_length_c 9.754
_cell_angle_alpha 90.00
_cell_angle_beta 90.00
_cell_angle_gamma 90.00
_symmetry_space_group_name_H-M 'I m -3'
_symmetry_Int_Tables_number 204
_symmetry_space_group_name_Hall '-I 2 2 3'
loop_
_atom_site_label
_atom_site_type_symbol
_atom_site_fract_x
_atom_site_fract_y
_atom_site_fract_z
Ce1 Ce 0.000 0.000 0.000
Dy1 Dy 0.000 0.193 0.309
Co1 Co 0.000 0.386 0.500

***

Record 5
# Ce2DyCo9 | Alexandria via LeMat-Bulk | GGA-PBE | relaxed
# - Total magnetic moment: 0.66 μB per atom
# - V: 516.9 Å³ per cell
# - E_tot: -6.89 eV per atom
# - ΔH_f (0 K): -2.3 eV/f.u.
data_Ce2DyCo9
_chemical_formula_sum 'Ce6 Dy3 Co27'
_cell_length_a 4.9044
_cell_length_b 4.9044
_cell_length_c 24.8131
_cell_angle_alpha 90.00
_cell_angle_beta 90.00
_cell_angle_gamma 120.00
_symmetry_space_group_name_H-M 'R -3 m'
_symmetry_Int_Tables_number 166
_symmetry_space_group_name_Hall '-R 3 2"'
loop_
_atom_site_label
_atom_site_type_symbol
_atom_site_fract_x
_atom_site_fract_y
_atom_site_fract_z
Ce1 Ce 0.0000 0.0000 0.1398
Dy1 Dy 0.0000 0.0000 0.0000
Co1 Co 0.0000 0.0000 0.3326
Co2 Co 0.0000 0.0000 0.5000
Co3 Co 0.0023 0.5011 0.0798

***

Record 6
# Ce3DyCo2 | Alexandria via LeMat-Bulk | GGA-PBE | relaxed
# - Total magnetic moment: 0.11 μB per atom
# - V: 541.6 Å³ per cell
# - E_tot: -6.18 eV per atom
# - ΔH_f (0 K): -0.5 eV/f.u.
data_Ce3DyCo2
_chemical_formula_sum 'Ce12 Dy4 Co8'
_cell_length_a 14.548
_cell_length_b 4.629
_cell_length_c 8.860
_cell_angle_alpha 90.00
_cell_angle_beta 114.81
_cell_angle_gamma 90.00
_symmetry_space_group_name_H-M 'C 1 2/m 1'
_symmetry_Int_Tables_number 12
loop_
_symmetry_equiv_pos_as_xyz
'x,y,z'
'-x,-y,-z'
'-x,y,-z'
'x,-y,z'
'x+1/2,y+1/2,z'
'-x+1/2,-y+1/2,-z'
'-x+1/2,y+1/2,-z'
'x+1/2,-y+1/2,z'
loop_
_atom_site_label
_atom_site_type_symbol
_atom_site_fract_x
_atom_site_fract_y
_atom_site_fract_z
Ce1 Ce 0.054 0.000 0.181
Ce2 Ce 0.149 0.500 0.968
Ce3 Ce 0.175 0.500 0.441
Dy1 Dy 0.118 0.000 0.654
Co1 Co 0.010 0.500 0.368
Co2 Co 0.215 0.000 0.178